(1)
Computed, not measured: a relaxed TaCoAs2 crystal at the GGA-PBE level of DFT. Values from VASP.

```
&SYSTEM
  ibrav = 0, nat = 4, ntyp = 3
/
ATOMIC_SPECIES
As 74.92 As.upf
Ta 180.95 Ta.upf
Co 58.93 Co.upf
CELL_PARAMETERS angstrom
-1.779 -4.206 -1.429
1.415 -3.884 -2.410
1.229 -2.749 3.100
ATOMIC_POSITIONS crystal
As 0.001 0.001 0.088
As 0.757 0.757 0.680
Ta 0.273 0.273 0.173
Co 0.470 0.470 0.559
```

Computed properties:
As for the calculated volume: 62.9 Å³ per cell. The space-group type is Cm. The spin magnetization is 0.00 Bohr magnetons per cell. The energy above the most stable polymorph in this dataset is 51 meV per atom.

=====

(2)
Computed, not measured: a relaxed TaCo4As crystal at the GGA-PBE level of DFT. Values from VASP.

```
&SYSTEM
  ibrav = 0, nat = 6, ntyp = 3
/
ATOMIC_SPECIES
As 74.92 As.upf
Co 58.93 Co.upf
Ta 180.95 Ta.upf
CELL_PARAMETERS angstrom
-4.322 -1.562 -1.087
-3.501 3.077 -0.759
-1.703 0.610 -4.362
ATOMIC_POSITIONS crystal
As 0.000 0.000 0.000
Co 0.874 0.375 0.375
Co 0.375 0.375 0.375
Co 0.375 0.874 0.375
Co 0.375 0.375 0.874
Ta 0.750 0.750 0.750
```

Computed properties:
As for the calculated volume: 74.5 Å³ per cell. The space-group type is F-43m. The spin magnetization is 1.55 Bohr magnetons per cell.

=====

(3)
Computed, not measured: a relaxed TaCo2As crystal at the GGA-PBE level of DFT. Values from VASP.

```
&SYSTEM
  ibrav = 0, nat = 4, ntyp = 3
/
ATOMIC_SPECIES
Co 58.93 Co.upf
As 74.92 As.upf
Ta 180.95 Ta.upf
CELL_PARAMETERS angstrom
-1.250 3.418 1.282
-2.626 -0.674 -0.764
-2.118 -2.337 4.166
ATOMIC_POSITIONS crystal
Co 0.500 0.200 0.225
Co 0.000 0.807 0.010
As 0.500 0.931 0.764
Ta 0.000 0.562 0.501
```

Computed properties:
As for the calculated volume: 54.7 Å³ per cell. The space-group type is Amm2. The spin magnetization is 1.75 Bohr magnetons per cell.

=====

(4)
Computed, not measured: a relaxed TaCoAs2 crystal at the GGA-PBE level of DFT. Values from VASP.

```
&SYSTEM
  ibrav = 0, nat = 4, ntyp = 3
/
ATOMIC_SPECIES
Ta 180.95 Ta.upf
As 74.92 As.upf
Co 58.93 Co.upf
CELL_PARAMETERS angstrom
-2.973 4.383 -6.112
-3.783 1.620 -6.962
-5.490 3.157 -5.030
ATOMIC_POSITIONS crystal
Ta 0.750 0.750 0.750
As 0.990 0.990 0.990
As 0.510 0.510 0.510
Co 0.250 0.250 0.250
```

Computed properties:
As for the calculated volume: 61.6 Å³ per cell. The space-group type is R-3m. The spin magnetization is 0.00 Bohr magnetons per cell. The energy above the most stable polymorph in this dataset is 229 meV per atom.

=====

(5)
Computed, not measured: a relaxed TaCo2As crystal at the GGA-PBE level of DFT. Values from VASP.

```
&SYSTEM
  ibrav = 0, nat = 4, ntyp = 3
/
ATOMIC_SPECIES
Ta 180.95 Ta.upf
Co 58.93 Co.upf
As 74.92 As.upf
CELL_PARAMETERS angstrom
-2.059 3.443 -1.394
-4.240 -0.010 -0.231
-2.280 2.350 2.704
ATOMIC_POSITIONS crystal
Ta 0.750 0.750 0.750
Co 0.000 0.000 0.000
Co 0.250 0.250 0.250
As 0.500 0.500 0.500
```

Computed properties:
As for the calculated volume: 54.2 Å³ per cell. The space-group type is F-43m. The spin magnetization is 1.07 Bohr magnetons per cell.

=====

(6)
Computed, not measured: a relaxed TaCoAs2 crystal at the GGA-PBE level of DFT. Values from VASP.

```
&SYSTEM
  ibrav = 0, nat = 4, ntyp = 3
/
ATOMIC_SPECIES
As 74.92 As.upf
Ta 180.95 Ta.upf
Co 58.93 Co.upf
CELL_PARAMETERS angstrom
-3.531 -0.613 1.336
-1.108 -0.655 3.602
-1.593 5.224 1.800
ATOMIC_POSITIONS crystal
As 0.006 0.006 0.962
As 0.494 0.494 0.538
Ta 0.250 0.250 0.250
Co 0.750 0.750 0.750
```

Computed properties:
As for the calculated volume: 63.8 Å³ per cell. The space-group type is C2/m. The spin magnetization is 0.00 Bohr magnetons per cell. The energy above the most stable polymorph in this dataset is 213 meV per atom.

=====

(7)
Computed, not measured: a relaxed TaCo2As crystal at the GGA-PBE level of DFT. Values from VASP.

```
&SYSTEM
  ibrav = 0, nat = 8, ntyp = 3
/
ATOMIC_SPECIES
Co 58.93 Co.upf
Ta 180.95 Ta.upf
As 74.92 As.upf
CELL_PARAMETERS angstrom
5.298 0.000 0.000
0.000 5.298 0.000
2.649 2.649 5.331
ATOMIC_POSITIONS crystal
Co 0.149 0.625 0.250
Co 0.375 0.399 0.750
Co 0.601 0.125 0.250
Co 0.875 0.851 0.750
Ta 0.000 0.000 0.000
Ta 0.750 0.250 0.500
As 0.500 0.500 0.000
As 0.250 0.750 0.500
```

Computed properties:
As for the calculated volume: 149.6 Å³ per cell. The space-group type is I-42d. The spin magnetization is 0.00 Bohr magnetons per cell.

=====

(8)
Computed, not measured: a relaxed TaCo2As crystal at the GGA-PBE level of DFT. Values from VASP.

```
&SYSTEM
  ibrav = 0, nat = 4, ntyp = 3
/
ATOMIC_SPECIES
Co 58.93 Co.upf
As 74.92 As.upf
Ta 180.95 Ta.upf
CELL_PARAMETERS angstrom
-0.805 -1.227 -3.494
2.270 -1.791 0.106
-2.982 -3.657 1.971
ATOMIC_POSITIONS crystal
Co 0.000 0.750 0.487
Co 0.000 0.750 0.013
As 0.500 0.750 0.750
Ta 0.500 0.250 0.250
```

Computed properties:
As for the calculated volume: 56.1 Å³ per cell. The space-group type is Pmmm. The spin magnetization is 0.00 Bohr magnetons per cell.

=====

Result set for ΔE_f: -0.12 0.04 -0.07 0.05 0.06 0.04 0.52 -0.11 eV/atom, one per record in the order listed.